Entry from Alexandria via LeMat-Bulk: a relaxed structure of VS2NO8 (GGA+U).

abc: 5.140 5.140 8.381
angles: 90.00 90.00 120.00
Each line ends with the local moment (μB).
Fractional positions:
V 0.000 0.000 0.000  1.33
S 0.333 0.667 0.204  0.01
S 0.667 0.333 0.796  0.01
N 0.000 0.000 0.500  1.93
O 0.178 0.355 0.136  -0.05
O 0.645 0.823 0.136  -0.05
O 0.355 0.178 0.864  -0.05
O 0.177 0.822 0.136  -0.05
O 0.823 0.645 0.864  -0.05
O 0.822 0.177 0.864  -0.05
O 0.333 0.667 0.374  -0.02
O 0.667 0.333 0.626  -0.02

* magnetic moment: 4.000 μB per cell
* total DFT energy (no corrections): -6.129 eV/atom
* DOS(E_F): 6.53 states/eV/f.u.